Y2PBr (PBE-GGA, relaxed); spin magnetization = 0.0 μB/f.u.; raw formation energy = -924.7 meV/atom; E_tot = -5.927 eV per atom; symmetry = I-42d
1.0
-2.240 -5.733 1.753
3.644 0.184 5.258
-4.007 0.034 6.671
Y P Br
4 2 2
direct
0.591 0.125 0.250 Y
0.159 0.625 0.250 Y
0.375 0.409 0.750 Y
0.875 0.841 0.750 Y
0.500 0.500 0.000 P
0.250 0.750 0.500 P
0.000 0.000 0.000 Br
0.750 0.250 0.500 Br